VASP calculation (PBE) on an optimized crystal structure of SrGe4Au6.

As for the space group: No. 121. The value obtained for the raw total energy is -3.7887 eV per atom.

Structure (POSCAR):
```
SrGe4Au6
1.0
-3.493 3.493 4.906
3.493 -3.493 4.906
3.493 3.493 -4.906
Sr Ge Au
1 4 6
Direct
0.000 0.000 0.000 Sr
0.156 0.156 0.590 Ge
0.435 0.844 0.000 Ge
0.565 0.565 0.410 Ge
0.844 0.435 0.000 Ge
0.000 0.500 0.500 Au
0.195 0.533 0.000 Au
0.467 0.467 0.662 Au
0.500 0.000 0.500 Au
0.533 0.195 0.000 Au
0.805 0.805 0.338 Au
```

VASP calculation (PBE) on an optimized crystal structure of SrTbGeAu.

As for the space group: No. 216. The value obtained for the raw total energy is -4.2244 eV per atom.

Structure (POSCAR):
```
SrTbGeAu
1.0
7.429 0.000 0.000
0.000 7.429 0.000
0.000 0.000 7.429
Sr Tb Ge Au
4 4 4 4
Direct
0.000 0.000 0.000 Sr
0.000 0.500 0.500 Sr
0.500 0.000 0.500 Sr
0.500 0.500 0.000 Sr
0.000 0.000 0.500 Tb
0.000 0.500 0.000 Tb
0.500 0.000 0.000 Tb
0.500 0.500 0.500 Tb
0.250 0.250 0.750 Ge
0.250 0.750 0.250 Ge
0.750 0.250 0.250 Ge
0.750 0.750 0.750 Ge
0.250 0.250 0.250 Au
0.250 0.750 0.750 Au
0.750 0.250 0.750 Au
0.750 0.750 0.250 Au
```

VASP calculation (PBE) on an optimized crystal structure of SrTbGe2Au2.

As for the space group: No. 164. The value obtained for the raw total energy is -4.4342 eV per atom.

Structure (POSCAR):
```
SrTbGe2Au2
1.0
4.524 0.000 0.000
-2.262 3.918 0.000
0.000 0.000 7.959
Sr Tb Ge Au
1 1 2 2
Direct
0.000 0.000 0.000 Sr
0.000 0.000 0.500 Tb
0.333 0.667 0.710 Ge
0.667 0.333 0.290 Ge
0.333 0.667 0.277 Au
0.667 0.333 0.723 Au
```

VASP calculation (PBE) on an optimized crystal structure of Sr2TbGe3Au12.

As for the space group: No. 166. The value obtained for the raw total energy is -3.5559 eV per atom.

Structure (POSCAR):
```
Sr2TbGe3Au12
1.0
4.654 2.687 6.018
-4.654 2.687 6.018
0.000 -5.374 6.018
Sr Tb Ge Au
2 1 3 12
Direct
0.101 0.101 0.101 Sr
0.899 0.899 0.899 Sr
0.500 0.500 0.500 Tb
0.000 0.500 0.500 Ge
0.500 0.000 0.500 Ge
0.500 0.500 0.000 Ge
0.126 0.650 0.650 Au
0.190 0.190 0.659 Au
0.190 0.659 0.190 Au
0.341 0.810 0.810 Au
0.350 0.350 0.874 Au
0.350 0.874 0.350 Au
0.650 0.126 0.650 Au
0.650 0.650 0.126 Au
0.659 0.190 0.190 Au
0.810 0.341 0.810 Au
0.810 0.810 0.341 Au
0.874 0.350 0.350 Au
```

VASP calculation (PBE) on an optimized crystal structure of Sr2TbGe3Au4.

As for the space group: No. 115. The value obtained for the raw total energy is -4.0902 eV per atom.

Structure (POSCAR):
```
Sr2TbGe3Au4
1.0
4.466 0.000 0.000
0.000 4.466 0.000
0.000 0.000 11.885
Sr Tb Ge Au
2 1 3 4
Direct
0.000 0.500 0.222 Sr
0.500 0.000 0.778 Sr
0.000 0.000 0.500 Tb
0.000 0.500 0.877 Ge
0.500 0.000 0.123 Ge
0.500 0.500 0.500 Ge
0.000 0.000 0.000 Au
0.000 0.500 0.659 Au
0.500 0.000 0.341 Au
0.500 0.500 0.000 Au
```

VASP calculation (PBE) on an optimized crystal structure of SrThGeAu.

As for the space group: No. 216. The value obtained for the raw total energy is -4.7553 eV per atom.

Structure (POSCAR):
```
SrThGeAu
1.0
7.523 0.000 0.000
0.000 7.523 0.000
0.000 0.000 7.523
Sr Th Ge Au
4 4 4 4
Direct
0.000 0.000 0.000 Sr
0.000 0.500 0.500 Sr
0.500 0.000 0.500 Sr
0.500 0.500 0.000 Sr
0.000 0.000 0.500 Th
0.000 0.500 0.000 Th
0.500 0.000 0.000 Th
0.500 0.500 0.500 Th
0.250 0.250 0.250 Ge
0.250 0.750 0.750 Ge
0.750 0.250 0.750 Ge
0.750 0.750 0.250 Ge
0.250 0.250 0.750 Au
0.250 0.750 0.250 Au
0.750 0.250 0.250 Au
0.750 0.750 0.750 Au
```

VASP calculation (PBE) on an optimized crystal structure of Sr2TlGe3Au4.

As for the space group: No. 115. The value obtained for the raw total energy is -3.7196 eV per atom.

Structure (POSCAR):
```
Sr2TlGe3Au4
1.0
4.559 0.000 0.000
0.000 4.559 0.000
0.000 0.000 11.287
Sr Tl Ge Au
2 1 3 4
Direct
0.000 0.500 0.237 Sr
0.500 0.000 0.763 Sr
0.000 0.000 0.500 Tl
0.000 0.500 0.877 Ge
0.500 0.000 0.123 Ge
0.500 0.500 0.500 Ge
0.000 0.000 0.000 Au
0.000 0.500 0.652 Au
0.500 0.000 0.348 Au
0.500 0.500 0.000 Au
```

VASP calculation (PBE) on an optimized crystal structure of Sr2UGe3Au12.

As for the space group: No. 166. The value obtained for the raw total energy is -3.7958 eV per atom.

Structure (POSCAR):
```
Sr2UGe3Au12
1.0
4.655 2.688 6.034
-4.655 2.688 6.034
0.000 -5.375 6.034
Sr U Ge Au
2 1 3 12
Direct
0.098 0.098 0.098 Sr
0.902 0.902 0.902 Sr
0.500 0.500 0.500 U
0.000 0.500 0.500 Ge
0.500 0.000 0.500 Ge
0.500 0.500 0.000 Ge
0.119 0.653 0.653 Au
0.194 0.194 0.660 Au
0.194 0.660 0.194 Au
0.340 0.806 0.806 Au
0.347 0.347 0.881 Au
0.347 0.881 0.347 Au
0.653 0.119 0.653 Au
0.653 0.653 0.119 Au
0.660 0.194 0.194 Au
0.806 0.340 0.806 Au
0.806 0.806 0.340 Au
0.881 0.347 0.347 Au
```

VASP calculation (PBE) on an optimized crystal structure of Sr2YGe3Au12.

As for the space group: No. 166. The value obtained for the raw total energy is -3.6557 eV per atom.

Structure (POSCAR):
```
Sr2YGe3Au12
1.0
4.651 2.685 6.029
-4.651 2.685 6.029
0.000 -5.370 6.029
Sr Y Ge Au
2 1 3 12
Direct
0.101 0.101 0.101 Sr
0.899 0.899 0.899 Sr
0.500 0.500 0.500 Y
0.000 0.500 0.500 Ge
0.500 0.000 0.500 Ge
0.500 0.500 0.000 Ge
0.126 0.650 0.650 Au
0.190 0.190 0.658 Au
0.190 0.658 0.190 Au
0.342 0.810 0.810 Au
0.350 0.350 0.874 Au
0.350 0.874 0.350 Au
0.650 0.126 0.650 Au
0.650 0.650 0.126 Au
0.658 0.190 0.190 Au
0.810 0.342 0.810 Au
0.810 0.810 0.342 Au
0.874 0.350 0.350 Au
```

VASP calculation (PBE) on an optimized crystal structure of SrYGeAu.

As for the space group: No. 216. The value obtained for the raw total energy is -4.6864 eV per atom.

Structure (POSCAR):
```
SrYGeAu
1.0
7.422 0.000 0.000
0.000 7.422 0.000
0.000 0.000 7.422
Sr Y Ge Au
4 4 4 4
Direct
0.000 0.000 0.000 Sr
0.000 0.500 0.500 Sr
0.500 0.000 0.500 Sr
0.500 0.500 0.000 Sr
0.000 0.000 0.500 Y
0.000 0.500 0.000 Y
0.500 0.000 0.000 Y
0.500 0.500 0.500 Y
0.250 0.250 0.250 Ge
0.250 0.750 0.750 Ge
0.750 0.250 0.750 Ge
0.750 0.750 0.250 Ge
0.250 0.250 0.750 Au
0.250 0.750 0.250 Au
0.750 0.250 0.250 Au
0.750 0.750 0.750 Au
```

VASP calculation (PBE) on an optimized crystal structure of Sr2Zn4Ge3Au.

As for the space group: No. 115. The value obtained for the raw total energy is -2.9617 eV per atom.

Structure (POSCAR):
```
Sr2Zn4Ge3Au
1.0
4.338 0.000 0.000
0.000 4.338 0.000
0.000 0.000 11.052
Sr Zn Ge Au
2 4 3 1
Direct
0.000 0.500 0.246 Sr
0.500 0.000 0.754 Sr
0.000 0.000 0.000 Zn
0.000 0.500 0.638 Zn
0.500 0.000 0.362 Zn
0.500 0.500 0.000 Zn
0.000 0.500 0.866 Ge
0.500 0.000 0.134 Ge
0.500 0.500 0.500 Ge
0.000 0.000 0.500 Au
```

VASP calculation (PBE) on an optimized crystal structure of Sr2Zn4GeAu3.

As for the space group: No. 115. The value obtained for the raw total energy is -2.7535 eV per atom.

Structure (POSCAR):
```
Sr2Zn4GeAu3
1.0
4.505 0.000 0.000
0.000 4.505 0.000
0.000 0.000 10.764
Sr Zn Ge Au
2 4 1 3
Direct
0.000 0.500 0.245 Sr
0.500 0.000 0.755 Sr
0.000 0.000 0.500 Zn
0.000 0.500 0.870 Zn
0.500 0.000 0.130 Zn
0.500 0.500 0.500 Zn
0.500 0.500 0.000 Ge
0.000 0.000 0.000 Au
0.000 0.500 0.630 Au
0.500 0.000 0.370 Au
```

VASP calculation (PBE) on an optimized crystal structure of Sr2ZnGe3Au4.

As for the space group: No. 115. The value obtained for the raw total energy is -3.6687 eV per atom.

Structure (POSCAR):
```
Sr2ZnGe3Au4
1.0
4.523 0.000 0.000
0.000 4.523 0.000
0.000 0.000 10.774
Sr Zn Ge Au
2 1 3 4
Direct
0.000 0.500 0.247 Sr
0.500 0.000 0.753 Sr
0.000 0.000 0.500 Zn
0.000 0.500 0.867 Ge
0.500 0.000 0.133 Ge
0.500 0.500 0.500 Ge
0.000 0.000 0.000 Au
0.000 0.500 0.629 Au
0.500 0.000 0.371 Au
0.500 0.500 0.000 Au
```

VASP calculation (PBE) on an optimized crystal structure of Sr2ZnGe4Au3.

As for the space group: No. 115. The value obtained for the raw total energy is -3.7737 eV per atom.

Structure (POSCAR):
```
Sr2ZnGe4Au3
1.0
4.469 0.000 0.000
0.000 4.469 0.000
0.000 0.000 10.971
Sr Zn Ge Au
2 1 4 3
Direct
0.000 0.500 0.246 Sr
0.500 0.000 0.754 Sr
0.500 0.500 0.000 Zn
0.000 0.000 0.500 Ge
0.000 0.500 0.869 Ge
0.500 0.000 0.131 Ge
0.500 0.500 0.500 Ge
0.000 0.000 0.000 Au
0.000 0.500 0.635 Au
0.500 0.000 0.365 Au
```

VASP calculation (PBE) on an optimized crystal structure of SrZn2GeAu.

As for the space group: No. 44. The value obtained for the raw total energy is -2.8390 eV per atom.

Structure (POSCAR):
```
SrZn2GeAu
1.0
4.408 0.000 0.000
0.000 4.475 0.000
0.000 0.000 10.737
Sr Zn Ge Au
2 4 2 2
Direct
0.000 0.000 0.000 Sr
0.500 0.500 0.500 Sr
0.000 0.000 0.381 Zn
0.000 0.500 0.248 Zn
0.500 0.000 0.748 Zn
0.500 0.500 0.881 Zn
0.000 0.000 0.617 Ge
0.500 0.500 0.117 Ge
0.000 0.500 0.748 Au
0.500 0.000 0.248 Au
```

VASP calculation (PBE) on an optimized crystal structure of Sr2Zn3Ge4Au.

As for the space group: No. 115. The value obtained for the raw total energy is -3.2887 eV per atom.

Structure (POSCAR):
```
Sr2Zn3Ge4Au
1.0
4.447 0.000 0.000
0.000 4.447 0.000
0.000 0.000 10.716
Sr Zn Ge Au
2 3 4 1
Direct
0.000 0.500 0.247 Sr
0.500 0.000 0.753 Sr
0.000 0.000 0.000 Zn
0.000 0.500 0.632 Zn
0.500 0.000 0.368 Zn
0.000 0.000 0.500 Ge
0.000 0.500 0.866 Ge
0.500 0.000 0.134 Ge
0.500 0.500 0.500 Ge
0.500 0.500 0.000 Au
```

VASP calculation (PBE) on an optimized crystal structure of Sr2Zn3GeAu12.

As for the space group: No. 166. The value obtained for the raw total energy is -3.0624 eV per atom.

Structure (POSCAR):
```
Sr2Zn3GeAu12
1.0
3.554 2.052 9.173
-3.554 2.052 9.173
0.000 -4.103 9.173
Sr Zn Ge Au
2 3 1 12
Direct
0.150 0.150 0.150 Sr
0.850 0.850 0.850 Sr
0.000 0.500 0.500 Zn
0.500 0.000 0.500 Zn
0.500 0.500 0.000 Zn
0.500 0.500 0.500 Ge
0.088 0.088 0.686 Au
0.088 0.686 0.088 Au
0.143 0.578 0.578 Au
0.314 0.912 0.912 Au
0.422 0.422 0.857 Au
0.422 0.857 0.422 Au
0.578 0.143 0.578 Au
0.578 0.578 0.143 Au
0.686 0.088 0.088 Au
0.857 0.422 0.422 Au
0.912 0.314 0.912 Au
0.912 0.912 0.314 Au
```

VASP calculation (PBE) on an optimized crystal structure of Ta3GeAu.

As for the energy above the lowest structure with this stoichiometry: 0.0 meV per atom. As for the space group: No. 221. The value obtained for the raw total energy is -7.6727 eV per atom.

Structure (POSCAR):
```
Ta3GeAu
1.0
4.707 0.000 0.000
0.000 4.707 0.000
0.000 0.000 4.707
Ta Ge Au
3 1 1
Direct
0.000 0.000 0.500 Ta
0.000 0.500 0.000 Ta
0.500 0.000 0.000 Ta
0.000 0.000 0.000 Ge
0.500 0.500 0.500 Au
```

VASP calculation (PBE) on an optimized crystal structure of TbGe2Au.

As for the energy above the lowest structure with this stoichiometry: 0.0 meV per atom. As for the space group: No. 123. The value obtained for the raw total energy is -4.7923 eV per atom.

Structure (POSCAR):
```
TbGe2Au
1.0
4.419 0.000 0.000
0.000 4.419 0.000
0.000 0.000 4.134
Tb Ge Au
1 2 1
Direct
0.000 0.000 0.000 Tb
0.000 0.500 0.500 Ge
0.500 0.000 0.500 Ge
0.500 0.500 0.000 Au
```

VASP calculation (PBE) on an optimized crystal structure of Tb3Ge2Au.

As for the space group: No. 62. The value obtained for the raw total energy is -5.1992 eV per atom.

Structure (POSCAR):
```
Tb3Ge2Au
1.0
11.666 0.000 0.000
0.000 4.338 0.000
0.000 0.000 11.556
Tb Ge Au
12 8 4
Direct
0.054 0.250 0.124 Tb
0.125 0.750 0.564 Tb
0.210 0.250 0.811 Tb
0.290 0.750 0.311 Tb
0.375 0.250 0.064 Tb
0.446 0.750 0.624 Tb
0.554 0.250 0.376 Tb
0.625 0.750 0.936 Tb
0.710 0.250 0.689 Tb
0.790 0.750 0.189 Tb
0.875 0.250 0.436 Tb
0.946 0.750 0.876 Tb
0.009 0.750 0.309 Ge
0.184 0.750 0.008 Ge
0.316 0.250 0.508 Ge
0.491 0.250 0.809 Ge
0.509 0.750 0.191 Ge
0.684 0.750 0.492 Ge
0.816 0.250 0.992 Ge
0.991 0.250 0.691 Ge
0.131 0.250 0.368 Au
0.369 0.750 0.868 Au
0.631 0.250 0.132 Au
0.869 0.750 0.632 Au
```

VASP calculation (PBE) on an optimized crystal structure of Tb2GeAu.

As for the space group: No. 38. The value obtained for the raw total energy is -5.1483 eV per atom.

Structure (POSCAR):
```
Tb2GeAu
1.0
4.336 0.000 0.000
0.000 4.067 0.000
0.000 0.000 10.981
Tb Ge Au
4 2 2
Direct
0.000 0.000 0.000 Tb
0.000 0.500 0.500 Tb
0.500 0.000 0.278 Tb
0.500 0.500 0.778 Tb
0.500 0.000 0.552 Ge
0.500 0.500 0.052 Ge
0.000 0.000 0.723 Au
0.000 0.500 0.223 Au
```

VASP calculation (PBE) on an optimized crystal structure of Tb2GeAu3.

As for the space group: No. 25. The value obtained for the raw total energy is -4.7466 eV per atom.

Structure (POSCAR):
```
Tb2GeAu3
1.0
3.504 0.000 0.000
0.000 4.556 0.000
0.000 0.000 8.145
Tb Ge Au
2 1 3
Direct
0.000 0.000 0.000 Tb
0.000 0.500 0.484 Tb
0.500 0.500 0.823 Ge
0.500 0.000 0.332 Au
0.500 0.000 0.671 Au
0.500 0.500 0.144 Au
```

VASP calculation (PBE) on an optimized crystal structure of TbGeAu2.

As for the space group: No. 123. The value obtained for the raw total energy is -4.4732 eV per atom.

Structure (POSCAR):
```
TbGeAu2
1.0
4.392 0.000 0.000
0.000 4.392 0.000
0.000 0.000 4.272
Tb Ge Au
1 1 2
Direct
0.000 0.000 0.000 Tb
0.500 0.500 0.000 Ge
0.000 0.500 0.500 Au
0.500 0.000 0.500 Au
```

Looking at DFT formation energy for the records above, in order, we have -0.1691; -0.6727; -0.7506; -0.1574; -0.5946; -0.5062; -0.4504; -0.0274; -0.1553; -0.6762; -0.4028; -0.4626; -0.5088; -0.4797; -0.4141; -0.3955; -0.2217; 1.0179; -0.5067; -0.7987; -0.8595; -0.7950; -0.5226 eV per atom.
Looking at magnetization for the records above, in order, we have 0.00; 0.00; 0.00; 0.00; 0.00; 0.00; 0.00; 3.05; 0.00; 0.00; 0.00; 0.00; 0.00; 0.00; 0.00; 0.00; 0.00; 0.00; 0.00; 0.00; 0.00; 0.00; 0.00 Bohr magnetons per cell.